Entry 1:
DFT (PBE-GGA) results for Bi2MoAu after structural relaxation.

abc: 6.481 6.481 7.770
angles: 65.35 65.35 90.00
Sites, in units of the cell vectors:
Mo1 0.500 0.500 0.000
Mo2 0.250 0.750 0.500
Au1 0.000 0.000 0.000
Au2 0.750 0.250 0.500
Bi1 0.609 0.125 0.250
Bi2 0.141 0.625 0.250
Bi3 0.375 0.391 0.750
Bi4 0.875 0.859 0.750

Calculated values
Total DFT energy (no corrections) in eV per atom: -4.653
N(E_F) in states/eV/atom: 0.479
Calculated volume in Å³ per cell: 263.57
Size of the total moment in μB per atom: 0.25

=====

Entry 2:
DFT (PBE-GGA) results for Li2VTePd after structural relaxation.

abc: 4.756 4.954 4.756
angles: 90.00 90.00 90.00
Sites, in units of the cell vectors:
Te1 0.000 0.500 0.000
Li1 0.000 0.000 0.500
Li2 0.500 0.000 0.000
Pd1 0.500 0.500 0.500
V1 0.000 0.000 0.000

Calculated values
Total DFT energy (no corrections) in eV per atom: -3.684
N(E_F) in states/eV/atom: 0.457
Calculated volume in Å³ per cell: 112.08
Size of the total moment in μB per atom: 0.67

=====

Entry 3:
DFT (PBE-GGA) results for NbV4Si4 after structural relaxation.

abc: 4.711 7.352 7.352
angles: 90.00 90.00 90.00
Sites, in units of the cell vectors:
Nb1 0.000 0.000 0.000
Nb2 0.500 0.500 0.500
V1 0.371 0.438 0.847
V2 0.871 0.653 0.938
V3 0.371 0.562 0.153
V4 0.129 0.062 0.653
V5 0.629 0.847 0.562
V6 0.129 0.938 0.347
V7 0.871 0.347 0.062
V8 0.629 0.153 0.438
Si1 0.599 0.878 0.208
Si2 0.599 0.122 0.792
Si3 0.099 0.708 0.622
Si4 0.901 0.378 0.708
Si5 0.901 0.622 0.292
Si6 0.401 0.208 0.122
Si7 0.401 0.792 0.878
Si8 0.099 0.292 0.378

Calculated values
Total DFT energy (no corrections) in eV per atom: -7.687
N(E_F) in states/eV/atom: 0.822
Calculated volume in Å³ per cell: 254.63
Size of the total moment in μB per atom: 0.00

=====

Entry 4:
DFT (PBE-GGA) results for CeNiSn3 after structural relaxation.

abc: 4.462 4.528 12.192
angles: 100.70 90.00 90.00
Sites, in units of the cell vectors:
Ce1 0.500 0.831 0.662
Ce2 0.500 0.169 0.338
Ni1 0.000 0.611 0.222
Ni2 0.000 0.389 0.778
Sn1 0.000 0.060 0.121
Sn2 0.000 0.940 0.879
Sn3 0.000 0.286 0.572
Sn4 0.000 0.714 0.428
Sn5 0.500 0.440 0.880
Sn6 0.500 0.560 0.120

Calculated values
Total DFT energy (no corrections) in eV per atom: -5.196
N(E_F) in states/eV/atom: 1.559
Calculated volume in Å³ per cell: 242.07
Size of the total moment in μB per atom: 0.18

=====

Entry 5:
DFT (PBE-GGA) results for CsAgO3 after structural relaxation.

abc: 4.343 4.343 4.343
angles: 90.00 90.00 90.00
Sites, in units of the cell vectors:
Cs1 0.000 0.000 0.000
O1 0.000 0.500 0.000
O2 0.000 0.000 0.500
O3 0.500 0.000 0.000
Ag1 0.500 0.500 0.500

Calculated values
Total DFT energy (no corrections) in eV per atom: -2.903
N(E_F) in states/eV/atom: 0.268
Calculated volume in Å³ per cell: 81.90
Size of the total moment in μB per atom: 0.00

=====

Entry 6:
DFT (PBE-GGA) results for La5Cd3 after structural relaxation.

abc: 6.115 9.635 9.635
angles: 84.22 71.50 71.50
Sites, in units of the cell vectors:
Cd1 0.750 0.000 0.000
Cd2 0.250 0.000 0.000
Cd3 0.337 0.500 0.826
Cd4 0.663 0.500 0.174
Cd5 0.837 0.826 0.500
Cd6 0.163 0.174 0.500
La1 0.750 0.500 0.500
La2 0.250 0.500 0.500
La3 0.414 0.862 0.310
La4 0.586 0.138 0.690
La5 0.914 0.310 0.862
La6 0.086 0.690 0.138
La7 0.224 0.862 0.690
La8 0.776 0.138 0.310
La9 0.276 0.310 0.138
La10 0.724 0.690 0.862

Calculated values
E above lowest polymorph in eV/atom: 0.035
N(E_F) in states/eV/atom: 1.251
Calculated volume in Å³ per cell: 510.46
Size of the total moment in μB per atom: 0.04

=====

Entry 7:
DFT (PBE-GGA) results for Ca2OsCl after structural relaxation.

abc: 5.014 5.014 5.014
angles: 60.00 60.00 60.00
Sites, in units of the cell vectors:
Ca1 0.000 0.000 0.000
Ca2 0.250 0.250 0.250
Os1 0.750 0.750 0.750
Cl1 0.500 0.500 0.500

Calculated values
E above lowest polymorph in eV/atom: 0.964
N(E_F) in states/eV/atom: 1.637
Calculated volume in Å³ per cell: 89.13
Size of the total moment in μB per atom: 0.25

=====

Entry 8:
DFT (PBE-GGA) results for Li2PbCl after structural relaxation.

abc: 6.086 6.086 6.086
angles: 149.15 97.64 90.49
Sites, in units of the cell vectors:
Cl1 0.250 0.750 0.500
Li1 0.055 0.055 0.000
Li2 0.445 0.445 0.000
Pb1 0.750 0.250 0.500

Calculated values
E above lowest polymorph in eV/atom: 0.216
N(E_F) in states/eV/atom: 0.401
Calculated volume in Å³ per cell: 111.19
Size of the total moment in μB per atom: 0.00